No. 1
Material: LaAl2In2
Method: DFT, PBE-GGA
State: optimized geometry

abc: 8.418 8.418 3.461
angles: 90.00 90.00 90.00
Space group P4/mbm (No. 127)
One atom of each set of equivalent atoms:
La (0.000, 0.000, 0.000) x2
Al (0.166, 0.334, 0.500) x4
In (0.130, 0.630, 0.000) x4

- final energy (eV/atom) = -3.69
- spin magnetization (μB per formula unit) = 0.000
- crystal system = tetragonal
- calculated formation energy (eV per formula unit) = -0.54
- theoretical density (g cm⁻³) = 5.72
- N(E_F) (states/eV per atom) = 0.50

No. 2
Material: LaAl2In
Method: DFT, PBE-GGA
State: optimized geometry

abc: 3.738 3.738 7.032
angles: 90.00 90.00 90.00
Space group P4/mmm (No. 123)
One atom of each set of equivalent atoms:
La (0.000, 0.000, 0.000) x1
Al (0.500, 0.500, 0.302) x2
In (0.000, 0.000, 0.500) x1

- final energy (eV/atom) = -3.96
- spin magnetization (μB per formula unit) = 0.460
- crystal system = tetragonal
- calculated formation energy (eV per formula unit) = -0.67
- theoretical density (g cm⁻³) = 5.20
- N(E_F) (states/eV per atom) = 0.71

No. 3
Material: LaAl2In
Method: DFT, PBE-GGA
State: optimized geometry

abc: 3.435 4.759 6.062
angles: 90.00 90.00 90.00
Space group Pmmm (No. 47)
One atom of each set of equivalent atoms:
La (0.000, 0.000, 0.000) x1
Al (0.500, 0.500, 0.235) x2
In (0.500, 0.000, 0.500) x1

- final energy (eV/atom) = -3.98
- spin magnetization (μB per formula unit) = 0.000
- crystal system = orthorhombic
- calculated formation energy (eV per formula unit) = -0.75
- theoretical density (g cm⁻³) = 5.16
- N(E_F) (states/eV per atom) = 0.74

Question: Which formula does entry 3 have?
Answer: LaAl2In